DFT (PBE) results for TlZn2Te after structural relaxation.

```
TlZn2Te
1.0
-1.1239 1.1171 -5.0204
-4.2350 -3.1032 0.3882
0.6206 3.9425 3.4333
Te Tl Zn
1 1 2
Direct
0.5000 0.5000 0.0000
0.7500 0.2500 0.5000
0.0000 0.0000 0.0000
0.2500 0.7500 0.5000
```

Results
**Spin magnetization**: 0.000 μB/atom
**Distance to the lowest polymorph of the same formula**: 0.72 eV/f.u.
**Formation energy without anion corrections**: 169 meV per atom

DFT (PBE) results for TlZnTe2 after structural relaxation.

```
TlZnTe2
1.0
3.3892 0.0204 0.0000
-0.8343 3.2850 0.0000
0.0000 0.0000 10.1079
Te Tl Zn
2 1 1
Direct
0.0000 0.0000 0.9337
0.5000 0.5000 0.2740
0.0000 0.0000 0.5370
0.5000 0.5000 0.7553
```

Results
**Spin magnetization**: 0.000 μB/atom
**Formation energy without anion corrections**: 102 meV per atom

DFT (PBE) results for TlZnTe2 after structural relaxation.

```
TlZnTe2
1.0
-6.5596 -1.8308 0.1530
4.7865 -2.8374 -3.9297
0.6345 -2.0831 2.2770
Te Tl Zn
2 1 1
Direct
0.0000 0.0000 0.0000
0.5000 0.5000 0.0000
0.5000 0.0000 0.5000
0.0000 0.5000 0.5000
```

Results
**Spin magnetization**: 0.000 μB/atom
**Formation energy without anion corrections**: 109 meV per atom

DFT (PBE) results for ZrTl2Te after structural relaxation.

```
ZrTl2Te
1.0
6.4208 0.0228 0.0000
3.4781 5.3972 0.0000
-4.9494 -2.7100 3.0637
Te Tl Zr
1 2 1
Direct
0.7500 0.2500 0.5000
0.0000 0.0000 0.0000
0.5000 0.5000 0.0000
0.2500 0.7500 0.5000
```

Results
**Spin magnetization**: 0.000 μB/atom
**Distance to the lowest polymorph of the same formula**: 0.92 eV/f.u.
**Formation energy without anion corrections**: -28 meV per atom

DFT (PBE) results for ZrTlTe2 after structural relaxation.

```
ZrTlTe2
1.0
8.8905 -0.0150 -0.0106
8.0967 3.6719 -0.0106
0.9014 0.1940 3.8869
Te Tl Zr
2 1 1
Direct
0.0710 0.0710 0.9291
0.2729 0.2729 0.2274
0.4569 0.4569 0.5424
0.6992 0.6992 0.8010
```

Results
**Spin magnetization**: 0.104 μB/atom
**Formation energy without anion corrections**: -558 meV per atom

DFT (PBE) results for ZrTlTe2 after structural relaxation.

```
ZrTlTe2
1.0
-1.3884 0.4685 4.1887
-1.5648 -3.3170 -2.4983
6.6581 -5.2451 2.7937
Tl Te Zr
1 2 1
Direct
0.0000 0.0000 0.9639
0.3333 0.6667 0.7485
0.6667 0.3333 0.2977
0.3333 0.6667 0.4449
```

Results
**Spin magnetization**: 0.250 μB/atom
**Formation energy without anion corrections**: -336 meV per atom

What did the third record say?
DFT (PBE) results for TlZnTe2 after structural relaxation.

```
TlZnTe2
1.0
-6.5596 -1.8308 0.1530
4.7865 -2.8374 -3.9297
0.6345 -2.0831 2.2770
Te Tl Zn
2 1 1
Direct
0.0000 0.0000 0.0000
0.5000 0.5000 0.0000
0.5000 0.0000 0.5000
0.0000 0.5000 0.5000
```

Results
**Spin magnetization**: 0.000 μB/atom
**Formation energy without anion corrections**: 109 meV per atom

- Among the records above, which one has the highest formation energy without anion corrections?
  TlZn2Te

- Number 1 is which compound?
  TlZn2Te

Repeat the sixth record exactly.
DFT (PBE) results for ZrTlTe2 after structural relaxation.

```
ZrTlTe2
1.0
-1.3884 0.4685 4.1887
-1.5648 -3.3170 -2.4983
6.6581 -5.2451 2.7937
Tl Te Zr
1 2 1
Direct
0.0000 0.0000 0.9639
0.3333 0.6667 0.7485
0.6667 0.3333 0.2977
0.3333 0.6667 0.4449
```

Results
**Spin magnetization**: 0.250 μB/atom
**Formation energy without anion corrections**: -336 meV per atom